# 1
Ho2S3: optimized geometry, GGA-PBEsol.

Summary:
- spin magnetization (μB per formula unit) = 0.00
- uncorrected energy (Ha/atom) = -0.2472

Cell: 3.950 10.029 17.310 Å, 98.65 90.00 90.00°
Fractional positions:
Ho  0.750  0.550  0.115
Ho  0.250  0.450  0.885
Ho  0.750  0.485  0.398
Ho  0.250  0.515  0.602
Ho  0.750  0.188  0.721
Ho  0.250  0.812  0.279
Ho  0.750  0.831  0.781
Ho  0.250  0.169  0.219
Ho  0.750  0.124  0.430
Ho  0.250  0.876  0.570
Ho  0.750  0.190  0.021
Ho  0.250  0.810  0.979
S  0.750  0.367  0.532
S  0.250  0.633  0.468
S  0.750  0.320  0.183
S  0.250  0.680  0.817
S  0.750  0.953  0.924
S  0.250  0.047  0.076
S  0.750  0.712  0.630
S  0.250  0.288  0.370
S  0.750  0.006  0.268
S  0.250  0.994  0.732
S  0.750  0.636  0.281
S  0.250  0.364  0.719
S  0.250  0.946  0.425
S  0.750  0.054  0.575
S  0.250  0.734  0.126
S  0.750  0.266  0.874
S  0.250  0.386  0.034
S  0.750  0.614  0.966



# 2
Na3GePCO7: optimized geometry, GGA-PBEsol.

Summary:
- spin magnetization (μB per formula unit) = 0.00
- uncorrected energy (Ha/atom) = -0.2413
- E above lowest polymorph (eV per atom) = 0.0068

Cell: 5.318 6.823 9.250 Å, 90.00 94.80 90.00°
Fractional positions:
Na  0.202  0.250  0.909
Na  0.726  0.997  0.739
Na  0.726  0.503  0.739
Na  0.274  0.497  0.261
Na  0.274  0.003  0.261
Na  0.798  0.750  0.091
Ge  0.204  0.750  0.639
Ge  0.796  0.250  0.361
P  0.247  0.250  0.601
P  0.753  0.750  0.399
C  0.275  0.750  0.938
C  0.725  0.250  0.062
O  0.766  0.250  0.928
O  0.076  0.750  0.841
O  0.499  0.750  0.894
O  0.138  0.069  0.678
O  0.138  0.431  0.678
O  0.534  0.250  0.616
O  0.845  0.750  0.567
O  0.155  0.250  0.433
O  0.466  0.750  0.384
O  0.862  0.569  0.322
O  0.862  0.931  0.322
O  0.501  0.250  0.106
O  0.924  0.250  0.159
O  0.234  0.750  0.072



# 3
Rb2TeIr: optimized geometry, GGA-PBEsol.

Summary:
- spin magnetization (μB per formula unit) = 0.00
- uncorrected energy (Ha/atom) = -0.1394

Cell: 4.906 9.263 9.263 Å, 85.98 74.64 74.64°
Fractional positions:
Ir  0.000  0.000  0.000
Ir  0.750  0.500  0.500
Te  0.500  0.000  0.000
Te  0.250  0.500  0.500
Rb  0.875  0.194  0.306
Rb  0.375  0.806  0.694
Rb  0.819  0.306  0.806
Rb  0.931  0.694  0.194



# 4
ZnMo2Os: optimized geometry, GGA-PBEsol.

Summary:
- spin magnetization (μB per formula unit) = 0.00
- uncorrected energy (Ha/atom) = -0.3348
- formation energy (eV per atom) = 0.222

Cell: 4.345 4.345 4.345 Å, 60.00 60.00 60.00°
Fractional positions:
Mo  0.000  0.000  0.000
Mo  0.750  0.750  0.750
Os  0.500  0.500  0.500
Zn  0.250  0.250  0.250



Repeat the fourth record exactly.
ZnMo2Os: optimized geometry, GGA-PBEsol.

Summary:
- spin magnetization (μB per formula unit) = 0.00
- uncorrected energy (Ha/atom) = -0.3348
- formation energy (eV per atom) = 0.222

Cell: 4.345 4.345 4.345 Å, 60.00 60.00 60.00°
Fractional positions:
Mo  0.000  0.000  0.000
Mo  0.750  0.750  0.750
Os  0.500  0.500  0.500
Zn  0.250  0.250  0.250